Co3RePd: optimized geometry, GGA-PBE.

POSCAR file:
```
Co3RePd
1.0
-1.7532 -3.1089 -2.6527
1.2728 -3.1583 2.8603
-3.8836 0.3683 2.1349
Co Re Pd
3 1 1
direct
0.0000 0.0000 0.5000
0.0000 0.5000 0.0000
0.5000 0.0000 0.0000
0.5000 0.5000 0.5000
0.0000 0.0000 0.0000
```

Values from the calculation:
Space group ... Pm-3m, No. 221
Electronic total energy ... -29.3 eV per cell
Density of states at the Fermi level ... 1.198 states/eV/atom

=====

CoRePd3: optimized geometry, GGA-PBE.

POSCAR file:
```
CoRePd3
1.0
-4.0138 1.9038 -0.8143
0.3328 -1.1600 -4.3522
-2.0437 -3.9278 0.8906
Co Re Pd
1 1 3
direct
0.0000 0.0000 0.0000
0.5000 0.5000 0.5000
0.0000 0.0000 0.5000
0.0000 0.5000 0.0000
0.5000 0.0000 0.0000
```

Values from the calculation:
Space group ... Pm-3m, No. 221
Electronic total energy ... -28.0 eV per cell
Density of states at the Fermi level ... 1.120 states/eV/atom

=====

Co2RePd: optimized geometry, GGA-PBE.

POSCAR file:
```
Co2RePd
1.0
-0.5738 0.8558 4.0425
1.1020 3.7252 1.5203
-2.9332 2.7310 1.1580
Co Pd Re
2 1 1
direct
0.2500 0.2500 0.2500
0.7500 0.7500 0.7500
0.0000 0.0000 0.0000
0.5000 0.5000 0.5000
```

Values from the calculation:
Space group ... Fm-3m, No. 225
Electronic total energy ... -30.9 eV per cell
Density of states at the Fermi level ... 1.575 states/eV/atom

=====

Results for formation energy from the elements: 1941.5 1420.8 239.6 (in meV/atom, following the order of the records).